[1]
Sr2MgZn: single point on PBEsol structure, meta-GGA SCAN.

a = 7.953 Å, b = 7.953 Å, c = 7.953 Å
α = 90.00°, β = 90.00°, γ = 90.00°
Space group Fm-3m (No. 225)
One atom of each set of equivalent atoms:
1 Sr 0.250 0.250 0.250
2 Mg 0.000 0.000 0.000
3 Zn 0.000 0.000 0.500

As for the distance to the lowest polymorph of the same formula: 0.048 eV/atom. The calculated formation energy is -0.08 eV per atom.

=====

[2]
CoMoPt2: single point on PBEsol structure, meta-GGA SCAN.

a = 2.7190 Å, b = 2.7190 Å, c = 26.2403 Å
α = 90.00°, β = 90.00°, γ = 120.00°
Space group R-3m (No. 166, hexagonal axes)
One atom of each set of equivalent atoms:
1 Co 0.0000 0.0000 0.0000
2 Mo 0.0000 0.0000 0.5000
3 Pt 0.0000 0.0000 0.2531

As for the distance to the lowest polymorph of the same formula: 0.200 eV/atom. The calculated formation energy is -0.09 eV per atom.

=====

[3]
KGa3O: single point on PBEsol structure, meta-GGA SCAN.

a = 5.736 Å, b = 5.736 Å, c = 5.736 Å
α = 90.00°, β = 90.00°, γ = 90.00°
Space group Pm-3m (No. 221)
One atom of each set of equivalent atoms:
1 K 0.000 0.000 0.000
2 Ga 0.000 0.000 0.500
3 O 0.500 0.500 0.500

The value obtained for the formation energy (no corrections) is 1.558 eV per atom.

=====

[4]
ZrPb2: single point on PBEsol structure, meta-GGA SCAN.

a = 7.270 Å, b = 7.270 Å, c = 6.073 Å
α = 90.00°, β = 90.00°, γ = 90.00°
Space group I4/mcm (No. 140)
One atom of each set of equivalent atoms:
1 Zr 0.000 0.000 0.250
2 Pb 0.186 0.314 0.000

The calculated formation energy is -0.23 eV per atom.

=====

[5]
Tl2SiPb: single point on PBEsol structure, meta-GGA SCAN.

a = 6.432 Å, b = 10.615 Å, c = 3.250 Å
α = 90.00°, β = 112.78°, γ = 90.00°
Space group C2/m (No. 12)
One atom of each set of equivalent atoms:
1 Tl 0.250 0.250 0.000
2 Si 0.000 0.000 0.500
3 Pb 0.000 0.500 0.500

As for the distance to the lowest polymorph of the same formula: 0.102 eV/atom. The value obtained for the formation energy (no corrections) is 0.452 eV per atom.

=====

[6]
KMgFe2: single point on PBEsol structure, meta-GGA SCAN.

a = 3.072 Å, b = 3.072 Å, c = 8.583 Å
α = 90.00°, β = 90.00°, γ = 90.00°
Space group P4mm (No. 99)
One atom of each set of equivalent atoms:
1 K 0.000 0.000 0.000
2 Mg 0.500 0.500 0.382
3 Fe 0.000 0.000 0.592
4 Fe 0.500 0.500 0.694

As for the distance to the lowest polymorph of the same formula: 0.000 eV/atom. The calculated formation energy is 0.47 eV per atom.

=====

[7]
CsSnTe2: single point on PBEsol structure, meta-GGA SCAN.

a = 8.753 Å, b = 8.753 Å, c = 9.462 Å
α = 90.00°, β = 90.00°, γ = 90.00°
Space group I-42d (No. 122)
One atom of each set of equivalent atoms:
1 Cs 0.000 0.000 0.000
2 Sn 0.000 0.000 0.500
3 Te 0.165 0.750 0.625

The value obtained for the formation energy (no corrections) is -0.551 eV per atom.

=====

[8]
CuAsPtBr2: single point on PBEsol structure, meta-GGA SCAN.

a = 5.187 Å, b = 5.187 Å, c = 4.666 Å
α = 90.00°, β = 90.00°, γ = 90.00°
Space group P4/mmm (No. 123)
One atom of each set of equivalent atoms:
1 Cu 0.000 0.000 0.000
2 As 0.500 0.500 0.000
3 Pt 0.500 0.500 0.500
4 Br 0.000 0.500 0.500

The value obtained for the formation energy (no corrections) is 0.604 eV per atom.

=====

no.,energy (eV/cell),magnetic moment (μB/cell)
1,-253.4,0.2
2,-578.8,5.7
3,-55.8,0.4
4,-731.9,0.0
5,-457.4,0.0
6,-47.7,5.6
7,-601.8,0.0
8,-141.5,0.6